# BRu

An optimized crystal structure of BRu (PBE, Alexandria). Values from VASP.

Calculated values
The size of the total moment comes out at 0.000 μB per formula unit. The space group is No. 65. The calculation puts the total DFT energy (no corrections) at -7.2440 eV/atom. The density of states at the Fermi level is 0.88 states/eV/atom.

Quantum ESPRESSO input file:
```
&SYSTEM
  ibrav = 0, nat = 4, ntyp = 2
/
ATOMIC_SPECIES
B 10.81 B.upf
Ru 101.07 Ru.upf
ATOMIC_POSITIONS angstrom
B 2.087 3.512 0.000
B 2.087 -3.512 0.000
Ru 2.087 1.395 0.000
Ru 2.087 -1.395 0.000
CELL_PARAMETERS angstrom
2.087 -4.370 0.000
2.087 4.370 0.000
0.000 0.000 2.633
```


# PrGa3PdPt

An optimized crystal structure of PrGa3PdPt (PBE, Alexandria). Values from VASP.

Calculated values
The size of the total moment comes out at 0.000 μB per formula unit. The space group is No. 63. The calculation puts the total DFT energy (no corrections) at -4.7360 eV/atom. The density of states at the Fermi level is 0.50 states/eV/atom.

Quantum ESPRESSO input file:
```
&SYSTEM
  ibrav = 0, nat = 12, ntyp = 4
/
ATOMIC_SPECIES
Pr 140.91 Pr.upf
Ga 69.72 Ga.upf
Pd 106.42 Pd.upf
Pt 195.08 Pt.upf
ATOMIC_POSITIONS angstrom
Pr 3.083 3.649 4.541
Pr 3.083 -3.649 1.514
Ga 1.267 0.000 0.000
Ga 1.267 0.000 3.027
Ga 3.083 1.876 1.514
Ga 3.083 -1.876 4.541
Ga 4.899 0.000 0.000
Ga 4.899 0.000 3.027
Pd 3.083 4.471 1.514
Pd 3.083 -4.471 4.541
Pt 3.083 0.875 4.541
Pt 3.083 -0.875 1.514
CELL_PARAMETERS angstrom
3.083 -6.387 0.000
3.083 6.387 0.000
0.000 0.000 6.055
```


# Ca2Ni3Ge4Pd

An optimized crystal structure of Ca2Ni3Ge4Pd (PBE, Alexandria). Values from VASP.

Calculated values
The size of the total moment comes out at 0.000 μB per formula unit. The space group is No. 115. The calculation puts the total DFT energy (no corrections) at -5.0672 eV/atom. The density of states at the Fermi level is 0.45 states/eV/atom.

Quantum ESPRESSO input file:
```
&SYSTEM
  ibrav = 0, nat = 10, ntyp = 4
/
ATOMIC_SPECIES
Ca 40.08 Ca.upf
Ni 58.69 Ni.upf
Ge 72.64 Ge.upf
Pd 106.42 Pd.upf
ATOMIC_POSITIONS angstrom
Ca 0.000 2.067 2.452
Ca 2.067 0.000 7.585
Ni 0.000 2.067 8.778
Ni 2.067 0.000 1.259
Ni 2.067 2.067 5.018
Ge 0.000 0.000 0.000
Ge 0.000 2.067 6.401
Ge 2.067 0.000 3.636
Ge 2.067 2.067 0.000
Pd 0.000 0.000 5.018
CELL_PARAMETERS angstrom
4.135 0.000 0.000
0.000 4.135 0.000
0.000 0.000 10.037
```


# La2Pr6YTh

An optimized crystal structure of La2Pr6YTh (PBE, Alexandria). Values from VASP.

Calculated values
The size of the total moment comes out at 0.000 μB per formula unit. The space group is No. 15. The calculation puts the total DFT energy (no corrections) at -5.1077 eV/atom. The density of states at the Fermi level is 1.52 states/eV/atom.

Quantum ESPRESSO input file:
```
&SYSTEM
  ibrav = 0, nat = 20, ntyp = 4
/
ATOMIC_SPECIES
La 138.91 La.upf
Pr 140.91 Pr.upf
Y 88.91 Y.upf
Th 232.04 Th.upf
ATOMIC_POSITIONS angstrom
La 2.128 0.698 0.435
La 1.216 -0.698 5.438
La 6.284 0.698 4.568
La 5.371 -0.698 9.571
Pr 2.441 4.339 1.890
Pr 2.969 4.839 5.555
Pr 3.618 4.839 9.454
Pr 3.068 1.570 3.812
Pr 5.971 4.339 3.113
Pr 5.344 1.570 1.191
Pr 2.155 -1.570 8.815
Pr 1.528 -4.339 6.892
Pr 4.432 -1.570 6.194
Pr 3.881 -4.839 0.552
Pr 4.530 -4.839 4.451
Pr 5.059 -4.339 8.116
Y 3.293 1.452 7.504
Y 4.206 -1.452 2.501
Th 4.206 7.449 2.501
Th 3.293 -7.449 7.504
CELL_PARAMETERS angstrom
4.662 -7.660 0.000
4.662 7.660 0.000
-1.825 0.000 10.006
```


# LiCuAu

An optimized crystal structure of LiCuAu (PBE, Alexandria). Values from VASP.

Calculated values
The size of the total moment comes out at 0.000 μB per formula unit. The space group is No. 156. The calculation puts the total DFT energy (no corrections) at -3.3328 eV/atom. The density of states at the Fermi level is 0.40 states/eV/atom. For the relative energy among the computed polymorphs, the calculation gives 20 meV/atom.

Quantum ESPRESSO input file:
```
&SYSTEM
  ibrav = 0, nat = 3, ntyp = 3
/
ATOMIC_SPECIES
Li 6.94 Li.upf
Cu 63.55 Cu.upf
Au 196.97 Au.upf
ATOMIC_POSITIONS angstrom
Li 0.000 0.000 0.000
Cu 0.000 2.464 2.245
Au 2.134 1.232 1.056
CELL_PARAMETERS angstrom
4.267 0.000 0.000
-2.134 3.695 0.000
0.000 0.000 2.734
```


# Li2ZnSe

An optimized crystal structure of Li2ZnSe (PBE, Alexandria). Values from VASP.

Calculated values
The size of the total moment comes out at 0.000 μB per formula unit. The space group is No. 216. The calculation puts the total DFT energy (no corrections) at -2.4886 eV/atom. As for the formation energy (no corrections): -0.342 eV/atom. The density of states at the Fermi level is 0.16 states/eV/atom. For the relative energy among the computed polymorphs, the calculation gives 251 meV/atom.

Quantum ESPRESSO input file:
```
&SYSTEM
  ibrav = 0, nat = 4, ntyp = 3
/
ATOMIC_SPECIES
Li 6.94 Li.upf
Zn 65.41 Zn.upf
Se 78.96 Se.upf
ATOMIC_POSITIONS angstrom
Li 0.000 0.000 0.000
Li 1.666 1.666 1.666
Zn 4.997 4.997 4.997
Se 3.331 3.331 3.331
CELL_PARAMETERS angstrom
0.000 3.331 3.331
3.331 0.000 3.331
3.331 3.331 0.000
```


# CuSeClO4

An optimized crystal structure of CuSeClO4 (PBE, Alexandria). Values from VASP.

Calculated values
The size of the total moment comes out at 0.000 μB per formula unit. The space group is No. 12. The calculation puts the total DFT energy (no corrections) at -4.5402 eV/atom. As for the formation energy (no corrections): -0.360 eV/atom. The density of states at the Fermi level is 0.37 states/eV/atom.

Quantum ESPRESSO input file:
```
&SYSTEM
  ibrav = 0, nat = 14, ntyp = 4
/
ATOMIC_SPECIES
Cu 63.55 Cu.upf
Se 78.96 Se.upf
Cl 35.45 Cl.upf
O 16.00 O.upf
ATOMIC_POSITIONS angstrom
Cu 1.701 0.000 1.944
Cu 5.225 0.000 6.226
Se 1.876 0.000 5.898
Se 5.050 0.000 2.271
Cl -0.406 0.000 2.161
Cl 7.332 0.000 6.009
O 0.791 1.221 6.497
O 2.043 0.000 4.279
O 3.616 0.000 1.379
O 0.791 -1.221 6.497
O 6.135 1.221 1.672
O 3.310 0.000 6.790
O 4.883 0.000 3.891
O 6.135 -1.221 1.672
CELL_PARAMETERS angstrom
4.479 -3.080 0.000
4.479 3.080 0.000
-2.033 0.000 8.169
```


# TbTeAs

An optimized crystal structure of TbTeAs (PBE, Alexandria). Values from VASP.

Calculated values
The size of the total moment comes out at 0.000 μB per formula unit. The space group is No. 107. The calculation puts the total DFT energy (no corrections) at -5.0281 eV/atom. As for the formation energy (no corrections): -0.888 eV/atom. The density of states at the Fermi level is 0.31 states/eV/atom.

Quantum ESPRESSO input file:
```
&SYSTEM
  ibrav = 0, nat = 3, ntyp = 3
/
ATOMIC_SPECIES
Tb 158.93 Tb.upf
Te 127.60 Te.upf
As 74.92 As.upf
ATOMIC_POSITIONS angstrom
Tb 0.000 0.000 0.000
Te 0.000 0.000 3.435
As 0.000 0.000 6.167
CELL_PARAMETERS angstrom
-1.977 1.977 5.216
1.977 -1.977 5.216
1.977 1.977 -5.216
```


# CaDy2HoS4

An optimized crystal structure of CaDy2HoS4 (PBE, Alexandria). Values from VASP.

Calculated values
The size of the total moment comes out at 0.000 μB per formula unit. The space group is No. 10. The calculation puts the total DFT energy (no corrections) at -6.0515 eV/atom. As for the formation energy (no corrections): -2.015 eV/atom. The density of states at the Fermi level is 0.30 states/eV/atom.

Quantum ESPRESSO input file:
```
&SYSTEM
  ibrav = 0, nat = 8, ntyp = 4
/
ATOMIC_SPECIES
Ca 40.08 Ca.upf
Dy 162.50 Dy.upf
Ho 164.93 Ho.upf
S 32.06 S.upf
ATOMIC_POSITIONS angstrom
Ca 0.000 0.000 0.000
Dy -1.117 1.953 3.212
Dy 2.282 0.000 3.212
Ho 3.398 1.953 0.000
S 0.033 0.000 4.824
S 1.157 1.953 1.616
S 3.406 1.953 4.808
S 4.530 0.000 1.600
CELL_PARAMETERS angstrom
6.796 0.000 0.000
0.000 3.907 0.000
-2.233 0.000 6.424
```


# Mn2GaCoC

An optimized crystal structure of Mn2GaCoC (PBE, Alexandria). Values from VASP.

Calculated values
The size of the total moment comes out at 3.677 μB per formula unit. The space group is No. 123. The calculation puts the total DFT energy (no corrections) at -7.6437 eV/atom. The density of states at the Fermi level is 1.03 states/eV/atom.

Quantum ESPRESSO input file:
```
&SYSTEM
  ibrav = 0, nat = 5, ntyp = 4
/
ATOMIC_SPECIES
Mn 54.94 Mn.upf
Ga 69.72 Ga.upf
Co 58.93 Co.upf
C 12.01 C.upf
ATOMIC_POSITIONS angstrom
Mn 0.000 1.906 0.000
Mn 1.906 0.000 0.000
Ga 0.000 0.000 1.897
Co 1.906 1.906 1.897
C 1.906 1.906 0.000
CELL_PARAMETERS angstrom
3.811 0.000 0.000
0.000 3.811 0.000
0.000 0.000 3.793
```